A plane-wave DFT calculation with PBE-GGA was carried out for an optimized crystal structure of NdAl4.

Output
energy	-4.246	eV per atom

abc: 4.268 4.268 11.397
angles: 90.00 90.00 90.00
Atoms (fractional coordinates):
Nd  0.000  0.000  0.000
Nd  0.500  0.500  0.500
Al  0.000  0.000  0.389
Al  0.000  0.000  0.611
Al  0.000  0.500  0.250
Al  0.000  0.500  0.750
Al  0.500  0.000  0.250
Al  0.500  0.000  0.750
Al  0.500  0.500  0.111
Al  0.500  0.500  0.889

---

A plane-wave DFT calculation with PBE-GGA was carried out for an optimized crystal structure of Sc2Co3Si.

Output
energy	-7.179	eV per atom

abc: 4.994 4.994 7.498
angles: 90.00 90.00 120.00
Atoms (fractional coordinates):
Sc  0.333  0.667  0.061
Sc  0.333  0.667  0.439
Sc  0.667  0.333  0.561
Sc  0.667  0.333  0.939
Co  0.171  0.342  0.750
Co  0.171  0.829  0.750
Co  0.342  0.171  0.250
Co  0.658  0.829  0.750
Co  0.829  0.171  0.250
Co  0.829  0.658  0.250
Si  0.000  0.000  0.000
Si  0.000  0.000  0.500